[1]
DFT (PBE-GGA) results for a relaxed RbReSn crystal.

Results
ΔE to the lowest computed polymorph, eV/atom: 0.807
Total magnetization, μB/atom: 1.066
Crystal system: cubic
Electronic total energy, eV/atom: -3.395
Volume, Å³/atom: 35.42

The structure in CIF format:
```
data_RbReSn
_space_group_name_H-M_alt 'F -4 3 m'
_space_group_IT_number 216
_space_group_name_Hall 'F -4 2 3'
_cell_length_a 7.5186
_cell_length_b 7.5186
_cell_length_c 7.5186
_cell_angle_alpha 90.00
_cell_angle_beta 90.00
_cell_angle_gamma 90.00
loop_
_atom_site_label
_atom_site_fract_x
_atom_site_fract_y
_atom_site_fract_z
_atom_site_occupancy
Rb1 0.0000 0.0000 0.0000 1
Re1 0.2500 0.2500 0.7500 1
Sn1 0.2500 0.2500 0.2500 1
```


[2]
DFT (PBE-GGA) results for a relaxed GeWAu crystal.

Results
Total magnetization, μB/atom: 0.518
Crystal system: cubic
Electronic total energy, eV/atom: -6.230
Volume, Å³/atom: 19.86

The structure in CIF format:
```
data_GeWAu
_space_group_name_H-M_alt 'F -4 3 m'
_space_group_IT_number 216
_space_group_name_Hall 'F -4 2 3'
_cell_length_a 6.2001
_cell_length_b 6.2001
_cell_length_c 6.2001
_cell_angle_alpha 90.00
_cell_angle_beta 90.00
_cell_angle_gamma 90.00
loop_
_atom_site_label
_atom_site_fract_x
_atom_site_fract_y
_atom_site_fract_z
_atom_site_occupancy
Ge1 0.0000 0.0000 0.0000 1
W1 0.2500 0.2500 0.7500 1
Au1 0.0000 0.0000 0.5000 1
```


[3]
DFT (PBE-GGA) results for a relaxed LiYGePd crystal.

Results
ΔE to the lowest computed polymorph, eV/atom: 0.000
Total magnetization, μB/atom: 0.000
Crystal system: cubic
Electronic total energy, eV/atom: -5.274
Volume, Å³/atom: 17.45

The structure in CIF format:
```
data_LiYGePd
_space_group_name_H-M_alt 'F -4 3 m'
_space_group_IT_number 216
_space_group_name_Hall 'F -4 2 3'
_cell_length_a 6.5360
_cell_length_b 6.5360
_cell_length_c 6.5360
_cell_angle_alpha 90.00
_cell_angle_beta 90.00
_cell_angle_gamma 90.00
loop_
_atom_site_label
_atom_site_fract_x
_atom_site_fract_y
_atom_site_fract_z
_atom_site_occupancy
Li1 0.0000 0.0000 0.0000 1
Y1 0.2500 0.2500 0.7500 1
Ge1 0.2500 0.2500 0.2500 1
Pd1 0.0000 0.0000 0.5000 1
```


[4]
DFT (PBE-GGA) results for a relaxed ZrInNiAg crystal.

Results
ΔE to the lowest computed polymorph, eV/atom: 0.202
Total magnetization, μB/atom: 0.017
Crystal system: cubic
Electronic total energy, eV/atom: -4.950
Volume, Å³/atom: 17.71

The structure in CIF format:
```
data_ZrInNiAg
_space_group_name_H-M_alt 'F -4 3 m'
_space_group_IT_number 216
_space_group_name_Hall 'F -4 2 3'
_cell_length_a 6.5683
_cell_length_b 6.5683
_cell_length_c 6.5683
_cell_angle_alpha 90.00
_cell_angle_beta 90.00
_cell_angle_gamma 90.00
loop_
_atom_site_label
_atom_site_fract_x
_atom_site_fract_y
_atom_site_fract_z
_atom_site_occupancy
Zr1 0.0000 0.0000 0.0000 1
In1 0.2500 0.2500 0.2500 1
Ni1 0.0000 0.0000 0.5000 1
Ag1 0.2500 0.2500 0.7500 1
```


Q: What is the formula in the second record?
A: GeWAu


Q: What is the volume in the fourth record?
A: 17.71 Å³/atom


Q: Among the records above, which one has the lowest volume?
A: LiYGePd